Crystalline In2Sb2S7 at its relaxed geometry, computed with GGA-PBE.

Cell and atoms, written as extended XYZ:
```
11
Lattice="6.5378 0.1221 0.1762 -0.5865 7.1118 0.0455 -0.5865 -2.4548 6.6749" Properties=species:S:1:pos:R:3 pbc="T T T"
S 4.1796 2.7605 3.9836
S 4.3827 -0.5969 3.0732
S 4.3827 3.0871 0.5203
S 1.1853 2.0186 2.9130
S 0.9822 5.3760 3.8233
S 0.9822 1.6919 6.3762
S 0.0000 0.0000 0.0000
In 5.4860 1.3765 1.9863
In -0.1211 3.4026 4.9102
Sb 2.6825 0.5762 4.7049
Sb 2.6825 4.2029 2.1917
```

Computed properties:
Formation energy (no corrections) in kJ/mol of formula units: -98

***

Crystalline K2MnTe at its relaxed geometry, computed with GGA-PBE.

Cell and atoms, written as extended XYZ:
```
8
Lattice="5.4129 0.0000 0.0000 0.0000 5.4129 0.0000 2.7065 2.7065 11.3817" Properties=species:S:1:pos:R:3 pbc="T T T"
K 1.2940 4.0597 2.8454
K 6.7662 6.8254 8.5363
K 4.0597 4.0004 8.5363
K 4.1189 1.3532 2.8454
Mn 2.7065 2.7065 0.0000
Mn 2.7065 5.4129 5.6908
Te 5.4129 2.7065 5.6908
Te 0.0000 0.0000 0.0000
```

Computed properties:
Formation energy (no corrections) in kJ/mol of formula units: 106

***

Crystalline Cs2CuIrO6 at its relaxed geometry, computed with GGA-PBE.

Cell and atoms, written as extended XYZ:
```
10
Lattice="5.1678 0.0000 0.0000 0.0000 6.4591 0.0000 0.0000 -3.2296 5.5938" Properties=species:S:1:pos:R:3 pbc="T T T"
O 1.2252 5.1579 0.7513
O 3.9426 -1.9283 4.8425
O 3.9426 0.0000 1.5026
O 1.2252 3.2296 4.0912
O 1.2252 1.3013 0.7513
O 3.9426 1.9283 4.8425
Ir 0.0000 0.0000 0.0000
Cu 2.5839 0.0000 0.0000
Cs 3.7682 3.2296 1.8646
Cs 1.3996 0.0000 3.7292
```

Computed properties:
Formation energy (no corrections) in kJ/mol of formula units: -802

***

Crystalline IrOsRu3 at its relaxed geometry, computed with GGA-PBE.

Cell and atoms, written as extended XYZ:
```
10
Lattice="3.8398 0.0000 0.0000 0.0000 6.0409 0.5252 0.0001 -0.5240 6.0437" Properties=species:S:1:pos:R:3 pbc="T T T"
Ru 0.4776 0.3593 2.9020
Ru 0.4776 2.6663 4.3123
Ru 0.4776 1.7758 0.6225
Ru 2.3976 3.1062 6.2199
Ru 2.3975 5.9372 1.5865
Ru 2.3975 4.5207 3.8660
Os 2.3975 2.2269 2.4699
Os 0.4776 4.0696 2.0187
Ir 0.4777 4.9637 5.7583
Ir 2.3976 0.8088 4.7740
```

Computed properties:
Formation energy in eV/atom: 0.048
Offset from the most stable computed form in meV/atom: 0.0

***

Crystalline CoHgAs2 at its relaxed geometry, computed with GGA-PBE.

Cell and atoms, written as extended XYZ:
```
4
Lattice="3.7542 -0.0429 -0.2221 2.5359 2.7686 -0.2221 -1.7244 -0.7472 7.9425" Properties=species:S:1:pos:R:3 pbc="T T T"
As 3.1092 1.3473 2.9347
As 5.4638 2.3677 0.3704
Co 1.1414 0.4946 1.8746
Hg 3.4243 1.4839 5.6238
```

Computed properties:
Formation energy in eV/atom: -0.035

***

Crystalline YSc2Si at its relaxed geometry, computed with GGA-PBE.

Cell and atoms, written as extended XYZ:
```
4
Lattice="-1.1483 -3.1753 -3.6383 -3.1262 -3.7544 0.8773 -4.5485 0.0419 -1.9869" Properties=species:S:1:pos:R:3 pbc="T T T"
Sc 0.0000 0.0000 0.0000
Sc -6.6173 -5.1659 -3.5609
Y -2.2058 -1.7220 -1.1870
Si -4.4115 -3.4439 -2.3740
```

Computed properties:
Formation energy (no corrections) in kJ/mol of formula units: -49

***

Crystalline LiFeOs2 at its relaxed geometry, computed with GGA-PBE.

Cell and atoms, written as extended XYZ:
```
4
Lattice="4.6333 0.0067 -0.0526 3.8782 2.5350 -0.0526 0.7123 0.2127 4.5294" Properties=species:S:1:pos:R:3 pbc="T T T"
Fe 4.5148 1.3482 2.1027
Li 2.3022 0.6875 1.2168
Os 6.9674 2.0806 3.4295
Os 0.7636 0.2280 4.4167
```

Computed properties:
Formation energy in eV/atom: 0.246
Offset from the most stable computed form in meV/atom: 78.7

***

Crystalline InNiPt2 at its relaxed geometry, computed with GGA-PBE.

Cell and atoms, written as extended XYZ:
```
4
Lattice="8.7445 0.0353 0.0208 8.2381 2.9328 0.0208 8.2381 1.4398 2.5551" Properties=species:S:1:pos:R:3 pbc="T T T"
Pt 12.4612 2.1779 1.2830
Pt 0.1492 0.0261 0.0154
In 6.3052 1.1020 0.6492
Ni 18.9155 3.3059 1.9475
```

Computed properties:
Formation energy in eV/atom: -0.028

***

Crystalline Pm7ZnBr12 at its relaxed geometry, computed with GGA-PBE.

Cell and atoms, written as extended XYZ:
```
20
Lattice="-3.3720 4.7759 -7.3843 1.7544 -8.8291 -2.7707 -6.6956 -0.2787 6.6180" Properties=species:S:1:pos:R:3 pbc="T T T"
Br -3.0423 -2.8475 0.8837
Br -6.7501 -1.9573 -0.3648
Br -5.2551 0.2066 2.7013
Br -4.3472 -5.0875 -2.1787
Br -5.2709 -1.4844 -4.4207
Br -2.4494 1.2930 -5.2234
Br -5.8638 -5.6248 1.6864
Br -7.7603 1.4705 -2.5458
Br -3.0581 -4.5385 -6.2383
Br -1.5631 -2.3746 -3.1722
Br -0.5529 -5.8024 -0.9911
Br -3.9660 0.7557 -1.3583
Zn 0.0000 0.0000 0.0000
Pm -1.1916 0.5434 -2.5077
Pm -7.9742 -1.5596 -3.0863
Pm -7.1216 -4.8752 -1.0293
Pm -4.1566 -2.1659 -1.7685
Pm -0.3390 -2.7723 -0.4507
Pm -5.7640 -4.4349 -4.7595
Pm -2.5492 0.1030 1.2225
```

Computed properties:
Formation energy (no corrections) in kJ/mol of formula units: -2997

***

Crystalline Cs3YTh2Se6 at its relaxed geometry, computed with GGA-PBE.

Cell and atoms, written as extended XYZ:
```
12
Lattice="7.4330 -0.0008 0.0002 -3.7154 6.4378 0.0002 -1.2396 -2.1463 8.4777" Properties=species:S:1:pos:R:3 pbc="T T T"
Th 3.7155 2.1462 0.0002
Th 0.0021 4.2908 0.0002
Cs 4.9479 0.0034 4.2391
Cs -2.4698 4.2874 4.2391
Cs 1.2390 2.1454 4.2391
Se 2.4537 -0.0007 1.6275
Se -1.2269 2.1250 1.6275
Se 0.0243 4.2914 6.8506
Se -0.0127 -0.0220 6.8466
Se 2.4908 4.3127 1.6316
Se 3.7049 2.1658 6.8506
Y 0.0000 0.0000 0.0000
```

Computed properties:
Formation energy (no corrections) in kJ/mol of formula units: -1838

***

Crystalline LaAl3Se at its relaxed geometry, computed with GGA-PBE.

Cell and atoms, written as extended XYZ:
```
5
Lattice="-3.3660 -4.0233 2.5150 2.6490 -4.1518 -3.0963 3.9363 -0.6464 4.2344" Properties=species:S:1:pos:R:3 pbc="T T T"
Al 1.9682 -0.3232 2.1172
Al 1.3245 -2.0759 -1.5482
Al -1.6830 -2.0116 1.2575
Se 1.6096 -4.4107 1.8265
La 0.0000 0.0000 0.0000
```

Computed properties:
Formation energy (no corrections) in kJ/mol of formula units: 601
Offset from the most stable computed form in meV/atom: 1059.2

***

Crystalline DyTa2Ni9 at its relaxed geometry, computed with GGA-PBE.

Cell and atoms, written as extended XYZ:
```
12
Lattice="-3.5448 -0.0102 3.2599 -4.5121 -1.0025 -1.3523 -1.4022 -7.9644 2.0076" Properties=species:S:1:pos:R:3 pbc="T T T"
Ni -3.4942 -5.9766 3.2962
Ni -3.9857 -6.4808 0.9527
Ni -5.9648 -3.0006 0.6190
Ni -5.4733 -2.4964 2.9625
Ni -3.6722 -2.4912 1.3061
Ni -4.0890 -8.2948 2.6422
Ni -5.7868 -6.4860 2.6091
Ni -4.7295 -4.4886 1.9576
Ni -5.3700 -0.6823 1.2730
Dy 0.0000 0.0000 0.0000
Ta -1.9486 -4.7175 1.4236
Ta -7.5104 -4.2597 2.4916
```

Computed properties:
Formation energy in eV/atom: -0.305

***

Crystalline Tm5Tl6Ag at its relaxed geometry, computed with GGA-PBE.

Cell and atoms, written as extended XYZ:
```
12
Lattice="4.9323 0.0038 -1.5175 -0.8288 7.0240 -2.6768 0.1212 -0.5631 9.1672" Properties=species:S:1:pos:R:3 pbc="T T T"
Tl 2.2562 1.7813 -1.4368
Tl 1.8473 5.2464 -2.7574
Tl 0.0977 6.2430 0.3327
Tl 4.1270 0.2216 4.6403
Tl 3.7130 3.7306 3.3030
Tl 0.5117 2.7339 1.6699
Tm 2.7949 4.5229 0.3207
Tm 1.4298 1.9416 4.6522
Tm 1.0918 5.5573 3.5622
Tm -0.4144 3.5120 -1.3384
Tm 3.1329 0.9073 1.4107
Ag 0.0000 0.0000 0.0000
```

Computed properties:
Formation energy in eV/atom: -0.236

***

Crystalline Tb3Ga9Pd2 at its relaxed geometry, computed with GGA-PBE.

Cell and atoms, written as extended XYZ:
```
14
Lattice="-0.0907 4.1724 -0.9763 -0.7836 0.2760 -8.1555 -7.8370 1.6139 -1.7831" Properties=species:S:1:pos:R:3 pbc="T T T"
Tb -2.7039 3.4731 -3.7220
Tb -6.0074 2.5891 -7.1930
Tb 0.0000 0.0000 0.0000
Pd -5.7415 3.2940 -4.2054
Pd -2.9698 2.7682 -6.7095
Ga -1.5938 0.9626 -5.1462
Ga -0.4728 1.5478 -2.7494
Ga -2.3274 1.8995 -1.0738
Ga -8.2385 4.5144 -8.1656
Ga -4.6960 1.5510 -2.3435
Ga -4.0153 4.5112 -8.5715
Ga -6.3839 4.1626 -9.8411
Ga -7.1175 5.0996 -5.7688
Ga -4.3103 0.9449 -4.9693
```

Computed properties:
Formation energy in eV/atom: -0.659

***

Crystalline Nd2CuNi5Ir2 at its relaxed geometry, computed with GGA-PBE.

Cell and atoms, written as extended XYZ:
```
20
Lattice="-3.4940 0.3578 -0.7097 1.2793 -4.1911 -8.4114 -1.6699 -8.4552 3.9590" Properties=species:S:1:pos:R:3 pbc="T T T"
Ni -2.5820 -4.0487 1.6247
Ni -0.8510 -5.3612 -7.5591
Ni -2.1837 -7.9582 -2.3071
Ni -1.1074 -1.9167 -4.5605
Ni -2.2843 -11.2145 -3.4536
Ni -3.0336 -6.9273 2.3971
Ni -1.6004 -1.0740 -1.7085
Ni -2.2742 -5.8294 -0.7882
Ni -1.7010 -4.3303 -2.8549
Ni -1.6104 -6.4592 -4.3739
Nd -0.0626 -9.1517 -4.3055
Nd -0.9631 -8.3770 0.5186
Nd 0.5725 -4.2694 -4.9710
Nd -0.3280 -3.4946 -0.1469
Ir 0.4949 -6.7813 -5.8554
Ir 0.2578 -2.6477 -2.6040
Ir -0.6484 -9.9987 -1.8484
Ir -0.8855 -5.8651 1.4030
Cu 0.0000 0.0000 0.0000
Cu -0.1953 -6.3232 -2.2262
```

Computed properties:
Formation energy in eV/atom: -0.062

***

Crystalline Li2Sb2Au at its relaxed geometry, computed with GGA-PBE.

Cell and atoms, written as extended XYZ:
```
10
Lattice="4.4201 0.0000 0.0000 2.2101 4.7678 -0.8463 2.2101 -0.6013 10.6597" Properties=species:S:1:pos:R:3 pbc="T T T"
Li 2.2101 3.9303 0.4509
Li 4.4201 2.4984 7.0556
Li 4.4201 1.6681 2.7579
Li 6.6302 0.2362 9.3625
Sb 6.6302 3.0389 8.9055
Sb 2.2101 0.7022 6.1453
Sb 2.2101 1.1276 0.9079
Sb 6.6302 3.4643 3.6681
Au 2.2101 0.0187 3.3899
Au 6.6302 4.1478 6.4235
```

Computed properties:
Formation energy (no corrections) in kJ/mol of formula units: -176
Offset from the most stable computed form in meV/atom: 0.0

***

Crystalline AcSm2Pb at its relaxed geometry, computed with GGA-PBE.

Cell and atoms, written as extended XYZ:
```
4
Lattice="-1.6643 -3.3521 0.3713 1.8162 -3.1262 -1.0358 4.3681 -3.1375 10.3007" Properties=species:S:1:pos:R:3 pbc="T T T"
Sm 3.3777 -2.9131 7.8871
Sm 1.0373 -2.3830 2.1832
Ac 2.2606 -4.8080 4.8196
Pb 0.1043 -4.3196 -0.4355
```

Computed properties:
Formation energy in eV/atom: -0.123
Offset from the most stable computed form in meV/atom: 147.0

***

Crystalline LiTm2Hg4 at its relaxed geometry, computed with GGA-PBE.

Cell and atoms, written as extended XYZ:
```
7
Lattice="4.7676 0.0000 0.0000 0.0000 4.7676 0.0000 -2.3838 -2.3838 7.6792" Properties=species:S:1:pos:R:3 pbc="T T T"
Hg 2.3838 2.3838 5.0043
Hg 2.3838 0.0000 0.0000
Hg 0.0000 2.3838 0.0000
Hg 0.0000 0.0000 2.6749
Tm 0.0000 0.0000 5.6392
Tm 2.3838 2.3838 2.0400
Li 0.0000 0.0000 0.0000
```

Computed properties:
Formation energy in eV/atom: -0.147
Offset from the most stable computed form in meV/atom: 144.2

***

Crystalline Sc2TiHPt at its relaxed geometry, computed with GGA-PBE.

Cell and atoms, written as extended XYZ:
```
5
Lattice="4.5380 0.0000 0.0000 0.0000 4.5380 0.0000 0.0000 0.0000 3.7086" Properties=species:S:1:pos:R:3 pbc="T T T"
Pt 2.2690 2.2690 1.8543
Ti 0.0000 0.0000 1.8543
Sc 0.0000 2.2690 0.0000
Sc 2.2690 0.0000 0.0000
H 0.0000 0.0000 0.0000
```

Computed properties:
Offset from the most stable computed form in meV/atom: 0.0

***

Crystalline MgNbCrRe2 at its relaxed geometry, computed with GGA-PBE.

Cell and atoms, written as extended XYZ:
```
5
Lattice="4.5226 0.0000 0.0000 0.0000 4.1787 0.0000 0.0000 0.0000 4.5226" Properties=species:S:1:pos:R:3 pbc="T T T"
Cr 0.0000 2.0893 0.0000
Mg 0.0000 0.0000 0.0000
Nb 2.2613 2.0893 2.2613
Re 0.0000 0.0000 2.2613
Re 2.2613 0.0000 0.0000
```

Computed properties:
Formation energy in eV/atom: 2.017

***

What calculated total energy values result from the calculations? In sequence: -3.97; -3.35; -5.27; -9.54; -4.21; -6.26; -7.96; -5.18; -4.28; -5.32; -2.68; -7.00; -3.52; -4.34; -6.09; -3.44; -4.44; -1.87; -6.58; -7.22 eV per atom.
What total moment values result from the calculations? In sequence: 0.12; 5.00; 3.86; 0.00; 0.00; 0.51; 2.21; 0.87; 0.00; 0.00; 0.00; 0.00; 0.00; 0.00; 0.00; 0.00; 0.00; 0.00; 1.78; 0.00 μB per formula unit.